1.
## PrHoAl2Ni4 (GGA-PBE)

Data for a geometry-optimized PrHoAl2Ni4 structure.

Values from the calculation:
SG = P-6m2 (187)

Unit cell a=4.162 b=4.162 c=9.178 alpha=90.00 beta=90.00 gamma=120.00
Positions (direct):
Pr  0.667  0.333  0.500
Ho  0.000  0.000  0.000
Al  0.333  0.667  0.762
Ni  0.667  0.333  0.180
Ni  0.667  0.333  0.820
Al  0.333  0.667  0.238
Ni  0.000  0.000  0.296
Ni  0.000  0.000  0.704

---

2.
## TlCu3PtSe4 (GGA-PBE)

Data for a geometry-optimized TlCu3PtSe4 structure.

Values from the calculation:
SG = P-43m (215)

Unit cell a=5.995 b=5.995 c=5.995 alpha=90.00 beta=90.00 gamma=90.00
Positions (direct):
Tl  0.500  0.500  0.500
Se  0.764  0.236  0.236
Cu  0.000  0.000  0.500
Se  0.236  0.764  0.236
Se  0.764  0.764  0.764
Cu  0.500  0.000  0.000
Cu  0.000  0.500  0.000
Se  0.236  0.236  0.764
Pt  0.000  0.000  0.000

---

| no. | total energy (eV for the cell shown) |
| --- | --- |
| 1 | -43.5 |
| 2 | -33.7 |